A:
Computed, not measured: YTiAl3 after structural relaxation at the GGA-PBE level of DFT.

## Properties
V: 23.1 A^3/atom

```
data_YTiAl3
_chemical_formula_sum 'Y1 Ti1 Al3'
_symmetry_space_group_name_H-M 'P 1'
_symmetry_Int_Tables_number 1
_cell_length_a 4.8680
_cell_length_b 4.8680
_cell_length_c 4.8680
_cell_angle_alpha 90.00
_cell_angle_beta 90.00
_cell_angle_gamma 90.00
loop_
_symmetry_equiv_pos_as_xyz
'x,y,z'
loop_
_atom_site_label
_atom_site_type_symbol
_atom_site_fract_x
_atom_site_fract_y
_atom_site_fract_z
Y1 Y 0.0000 0.0000 0.0000
Ti1 Ti 0.5000 0.5000 0.5000
Al1 Al 0.0000 0.5000 0.5000
Al2 Al 0.5000 0.0000 0.5000
Al3 Al 0.5000 0.5000 0.0000
```

=====

B:
Computed, not measured: YTiAl3 after structural relaxation at the GGA-PBE level of DFT.

## Properties
V: 28.1 A^3/atom

```
data_YTiAl3
_chemical_formula_sum 'Y1 Ti1 Al3'
_symmetry_space_group_name_H-M 'P 1'
_symmetry_Int_Tables_number 1
_cell_length_a 5.1985
_cell_length_b 5.1985
_cell_length_c 5.1985
_cell_angle_alpha 90.00
_cell_angle_beta 90.00
_cell_angle_gamma 90.00
loop_
_symmetry_equiv_pos_as_xyz
'x,y,z'
loop_
_atom_site_label
_atom_site_type_symbol
_atom_site_fract_x
_atom_site_fract_y
_atom_site_fract_z
Y1 Y 0.0000 0.0000 0.0000
Ti1 Ti 0.5000 0.5000 0.5000
Al1 Al 0.0000 0.0000 0.5000
Al2 Al 0.0000 0.5000 0.0000
Al3 Al 0.5000 0.0000 0.0000
```

=====

Most favorable structure: A. The second most favorable one is 1169 meV per atom above it.

=====

A:
Computed, not measured: Y3TiAl after structural relaxation at the GGA-PBE level of DFT.

## Properties
V: 29.4 A^3/atom

```
data_Y3TiAl
_chemical_formula_sum 'Y3 Ti1 Al1'
_symmetry_space_group_name_H-M 'P 1'
_symmetry_Int_Tables_number 1
_cell_length_a 5.2799
_cell_length_b 5.2799
_cell_length_c 5.2799
_cell_angle_alpha 90.00
_cell_angle_beta 90.00
_cell_angle_gamma 90.00
loop_
_symmetry_equiv_pos_as_xyz
'x,y,z'
loop_
_atom_site_label
_atom_site_type_symbol
_atom_site_fract_x
_atom_site_fract_y
_atom_site_fract_z
Y1 Y 0.0000 0.0000 0.5000
Y2 Y 0.0000 0.5000 0.0000
Y3 Y 0.5000 0.0000 0.0000
Ti1 Ti 0.0000 0.0000 0.0000
Al1 Al 0.5000 0.5000 0.5000
```

=====

B:
Computed, not measured: Y3TiAl after structural relaxation at the GGA-PBE level of DFT.

## Properties
V: 33.1 A^3/atom

```
data_Y3TiAl
_chemical_formula_sum 'Y3 Ti1 Al1'
_symmetry_space_group_name_H-M 'P 1'
_symmetry_Int_Tables_number 1
_cell_length_a 5.4924
_cell_length_b 5.4924
_cell_length_c 5.4924
_cell_angle_alpha 90.00
_cell_angle_beta 90.00
_cell_angle_gamma 90.00
loop_
_symmetry_equiv_pos_as_xyz
'x,y,z'
loop_
_atom_site_label
_atom_site_type_symbol
_atom_site_fract_x
_atom_site_fract_y
_atom_site_fract_z
Y1 Y 0.0000 0.0000 0.5000
Y2 Y 0.0000 0.5000 0.0000
Y3 Y 0.5000 0.0000 0.0000
Ti1 Ti 0.5000 0.5000 0.5000
Al1 Al 0.0000 0.0000 0.0000
```

=====

Most favorable structure: A. The second most favorable one is 44 meV per atom above it.

=====

A:
Computed, not measured: Ti2AlZn6 after structural relaxation at the GGA-PBE level of DFT.

## Properties
V: 15.4 A^3/atom

```
data_Ti2AlZn6
_chemical_formula_sum 'Ti2 Al1 Zn6'
_symmetry_space_group_name_H-M 'P 1'
_symmetry_Int_Tables_number 1
_cell_length_a 7.5165
_cell_length_b 7.5165
_cell_length_c 2.8267
_cell_angle_alpha 90.00
_cell_angle_beta 90.00
_cell_angle_gamma 120.00
loop_
_symmetry_equiv_pos_as_xyz
'x,y,z'
loop_
_atom_site_label
_atom_site_type_symbol
_atom_site_fract_x
_atom_site_fract_y
_atom_site_fract_z
Ti1 Ti 0.3333 0.6667 0.0000
Ti2 Ti 0.6667 0.3333 0.0000
Al1 Al 0.0000 0.0000 0.0000
Zn1 Zn 0.0000 0.3351 0.5000
Zn2 Zn 0.0000 0.6649 0.5000
Zn3 Zn 0.3351 0.0000 0.5000
Zn4 Zn 0.3351 0.3351 0.5000
Zn5 Zn 0.6649 0.0000 0.5000
Zn6 Zn 0.6649 0.6649 0.5000
```

=====

B:
Computed, not measured: Ti2AlZn6 after structural relaxation at the GGA-PBE level of DFT.

## Properties
V: 16.6 A^3/atom

```
data_Ti2AlZn6
_chemical_formula_sum 'Ti2 Al1 Zn6'
_symmetry_space_group_name_H-M 'P 1'
_symmetry_Int_Tables_number 1
_cell_length_a 7.3196
_cell_length_b 7.3196
_cell_length_c 7.3196
_cell_angle_alpha 145.81
_cell_angle_beta 136.86
_cell_angle_gamma 56.17
loop_
_symmetry_equiv_pos_as_xyz
'x,y,z'
loop_
_atom_site_label
_atom_site_type_symbol
_atom_site_fract_x
_atom_site_fract_y
_atom_site_fract_z
Ti1 Ti 0.1015 0.1015 0.0000
Ti2 Ti 0.8985 0.8985 0.0000
Al1 Al 0.5000 0.0000 0.5000
Zn1 Zn 0.0517 0.2998 0.7518
Zn2 Zn 0.2365 0.5000 0.7365
Zn3 Zn 0.4520 0.7002 0.7518
Zn4 Zn 0.5480 0.2998 0.2482
Zn5 Zn 0.7635 0.5000 0.2635
Zn6 Zn 0.9483 0.7002 0.2482
```

=====

Most favorable structure: A. The second most favorable one is 111 meV per atom above it.